Record 1
Ca2Zn12Au7 | PBE-GGA | optimized geometry

Output
Total DFT energy (no corrections), eV/atom: -2.3276

```
data_Ca2Zn12Au7
_chemical_formula_sum 'Ca2 Zn12 Au7'
_space_group_name_H-M_alt 'P -3'
_space_group_IT_number 147
_cell_length_a 10.3924
_cell_length_b 10.3924
_cell_length_c 4.2352
_cell_angle_alpha 90.00
_cell_angle_beta 90.00
_cell_angle_gamma 120.00
loop_
_space_group_symop_operation_xyz
'x,y,z'
'-x,-y,-z'
'-y,x-y,z'
'y,-x+y,-z'
'-x+y,-x,z'
'x-y,x,-z'
loop_
_atom_site_label
_atom_site_fract_x
_atom_site_fract_y
_atom_site_fract_z
_atom_site_occupancy
Ca1 0.3333 0.6667 0.2469 1
Zn1 0.0396 0.6101 0.7517 1
Zn2 0.1188 0.8536 0.2395 1
Au1 0.0000 0.0000 0.5000 1
Au2 0.1296 0.4143 0.7472 1
```


Record 2
CaZn4Au6 | PBE-GGA | optimized geometry

Output
Total DFT energy (no corrections), eV/atom: -2.6513
Polymorph energy (0 for the lowest one), meV/atom: 111

```
data_CaZn4Au6
_chemical_formula_sum 'Ca2 Zn8 Au12'
_space_group_name_H-M_alt 'I -4 2 m'
_space_group_IT_number 121
_space_group_name_Hall 'I -4 2'
_cell_length_a 6.6681
_cell_length_b 6.6681
_cell_length_c 9.9353
_cell_angle_alpha 90.00
_cell_angle_beta 90.00
_cell_angle_gamma 90.00
loop_
_atom_site_label
_atom_site_fract_x
_atom_site_fract_y
_atom_site_fract_z
_atom_site_occupancy
Ca1 0.0000 0.0000 0.0000 1
Zn1 0.1609 0.1609 0.5969 1
Au1 0.0000 0.5000 0.0000 1
Au2 0.2144 0.2144 0.3228 1
```


Record 3
CaZn2Au10 | PBE-GGA | optimized geometry

Output
Total DFT energy (no corrections), eV/atom: -3.1195

```
data_CaZn2Au10
_chemical_formula_sum 'Ca4 Zn8 Au40'
_space_group_name_H-M_alt 'F m m m'
_space_group_IT_number 69
_space_group_name_Hall '-F 2 2'
_cell_length_a 5.5615
_cell_length_b 13.3079
_cell_length_c 13.3265
_cell_angle_alpha 90.00
_cell_angle_beta 90.00
_cell_angle_gamma 90.00
loop_
_atom_site_label
_atom_site_fract_x
_atom_site_fract_y
_atom_site_fract_z
_atom_site_occupancy
Ca1 0.0000 0.0000 0.0000 1
Zn1 0.2500 0.0000 0.2500 1
Au1 0.0000 0.1053 0.3874 1
Au2 0.0000 0.1637 0.1753 1
Au3 0.2500 0.2500 0.0000 1
```


Record 4
CaZnAu11 | PBE-GGA | optimized geometry

Output
Total DFT energy (no corrections), eV/atom: -3.2359

```
data_CaZnAu11
_chemical_formula_sum 'Ca2 Zn2 Au22'
_space_group_name_H-M_alt 'C 1 2/m 1'
_space_group_IT_number 12
_cell_length_a 5.6015
_cell_length_b 13.3767
_cell_length_c 7.1854
_cell_angle_alpha 90.00
_cell_angle_beta 110.91
_cell_angle_gamma 90.00
loop_
_space_group_symop_operation_xyz
'x,y,z'
'-x,-y,-z'
'-x,y,-z'
'x,-y,z'
'x+1/2,y+1/2,z'
'-x+1/2,-y+1/2,-z'
'-x+1/2,y+1/2,-z'
'x+1/2,-y+1/2,z'
loop_
_atom_site_label
_atom_site_fract_x
_atom_site_fract_y
_atom_site_fract_z
_atom_site_occupancy
Ca1 0.0000 0.0000 0.0000 1
Zn1 0.0000 0.5000 0.5000 1
Au1 0.0000 0.0000 0.5000 1
Au2 0.0929 0.3940 0.2209 1
Au3 0.1689 0.1712 0.3492 1
Au4 0.2500 0.2500 0.0000 1
```


Record 5
Ca2Zn2Au7 | PBE-GGA | optimized geometry

Output
Total DFT energy (no corrections), eV/atom: -3.1305

```
data_Ca2Zn2Au7
_chemical_formula_sum 'Ca4 Zn4 Au14'
_space_group_name_H-M_alt 'C 1 2/m 1'
_space_group_IT_number 12
_cell_length_a 10.3695
_cell_length_b 9.2054
_cell_length_c 5.4772
_cell_angle_alpha 90.00
_cell_angle_beta 116.75
_cell_angle_gamma 90.00
loop_
_space_group_symop_operation_xyz
'x,y,z'
'-x,-y,-z'
'-x,y,-z'
'x,-y,z'
'x+1/2,y+1/2,z'
'-x+1/2,-y+1/2,-z'
'-x+1/2,y+1/2,-z'
'x+1/2,-y+1/2,z'
loop_
_atom_site_label
_atom_site_fract_x
_atom_site_fract_y
_atom_site_fract_z
_atom_site_occupancy
Ca1 0.0000 0.2428 0.0000 1
Zn1 0.2303 0.5000 0.4868 1
Au1 0.0000 0.0000 0.5000 1
Au2 0.1626 0.2547 0.6452 1
Au3 0.2297 0.5000 0.9867 1
```


Record 6
Ca5Zn2Au12 | PBE-GGA | optimized geometry

Output
Total DFT energy (no corrections), eV/atom: -3.2951

```
data_Ca5Zn2Au12
_chemical_formula_sum 'Ca10 Zn4 Au24'
_space_group_name_H-M_alt 'C 1 2/m 1'
_space_group_IT_number 12
_cell_length_a 15.3154
_cell_length_b 7.6190
_cell_length_c 6.9654
_cell_angle_alpha 90.00
_cell_angle_beta 92.71
_cell_angle_gamma 90.00
loop_
_space_group_symop_operation_xyz
'x,y,z'
'-x,-y,-z'
'-x,y,-z'
'x,-y,z'
'x+1/2,y+1/2,z'
'-x+1/2,-y+1/2,-z'
'-x+1/2,y+1/2,-z'
'x+1/2,-y+1/2,z'
loop_
_atom_site_label
_atom_site_fract_x
_atom_site_fract_y
_atom_site_fract_z
_atom_site_occupancy
Ca1 0.0000 0.0000 0.0000 1
Ca2 0.1944 0.5000 0.5446 1
Ca3 0.2446 0.0000 0.9326 1
Zn1 0.0000 0.2852 0.5000 1
Au1 0.0562 0.5000 0.2142 1
Au2 0.1024 0.0000 0.6018 1
Au3 0.1041 0.3026 0.8504 1
Au4 0.1468 0.1844 0.2527 1
```


Record 7
Ca3Zn2Au5 | PBE-GGA | optimized geometry

Output
Total DFT energy (no corrections), eV/atom: -3.0826

```
data_Ca3Zn2Au5
_chemical_formula_sum 'Ca6 Zn4 Au10'
_space_group_name_H-M_alt 'P 4/m b m'
_space_group_IT_number 127
_space_group_name_Hall '-P 4 2ab'
_cell_length_a 10.4152
_cell_length_b 10.4152
_cell_length_c 3.9441
_cell_angle_alpha 90.00
_cell_angle_beta 90.00
_cell_angle_gamma 90.00
loop_
_atom_site_label
_atom_site_fract_x
_atom_site_fract_y
_atom_site_fract_z
_atom_site_occupancy
Ca1 0.0000 0.0000 0.0000 1
Ca2 0.1757 0.3243 0.0000 1
Zn1 0.1209 0.6209 0.0000 1
Au1 0.0000 0.5000 0.5000 1
Au2 0.0624 0.7887 0.5000 1
```


Record 8
CaZn11Au | PBE-GGA | optimized geometry

Output
Total DFT energy (no corrections), eV/atom: -1.6440

```
data_CaZn11Au
_chemical_formula_sum 'Ca2 Zn22 Au2'
_space_group_name_H-M_alt 'C 1 2/m 1'
_space_group_IT_number 12
_cell_length_a 5.3190
_cell_length_b 12.7623
_cell_length_c 6.8311
_cell_angle_alpha 90.00
_cell_angle_beta 112.20
_cell_angle_gamma 90.00
loop_
_space_group_symop_operation_xyz
'x,y,z'
'-x,-y,-z'
'-x,y,-z'
'x,-y,z'
'x+1/2,y+1/2,z'
'-x+1/2,-y+1/2,-z'
'-x+1/2,y+1/2,-z'
'x+1/2,-y+1/2,z'
loop_
_atom_site_label
_atom_site_fract_x
_atom_site_fract_y
_atom_site_fract_z
_atom_site_occupancy
Ca1 0.0000 0.0000 0.0000 1
Zn1 0.0000 0.5000 0.5000 1
Zn2 0.1011 0.3885 0.2158 1
Zn3 0.1818 0.1788 0.3529 1
Zn4 0.2500 0.2500 0.0000 1
Au1 0.0000 0.0000 0.5000 1
```


Record 9
Ca2Zn6Au3 | PBE-GGA | optimized geometry

Output
Total DFT energy (no corrections), eV/atom: -2.3509

```
data_Ca2Zn6Au3
_chemical_formula_sum 'Ca2 Zn6 Au3'
_space_group_name_H-M_alt 'P -6 2 m'
_space_group_IT_number 189
_space_group_name_Hall 'P -6 -2'
_cell_length_a 7.9324
_cell_length_b 7.9324
_cell_length_c 4.0314
_cell_angle_alpha 90.00
_cell_angle_beta 90.00
_cell_angle_gamma 120.00
loop_
_atom_site_label
_atom_site_fract_x
_atom_site_fract_y
_atom_site_fract_z
_atom_site_occupancy
Ca1 0.3333 0.6667 0.0000 1
Zn1 0.0000 0.2764 0.5000 1
Zn2 0.0000 0.8134 0.0000 1
Au1 0.0000 0.6040 0.5000 1
```


Record 10
Ca6Zn2Au | PBE-GGA | optimized geometry

Output
Total DFT energy (no corrections), eV/atom: -2.2525

```
data_Ca6Zn2Au
_chemical_formula_sum 'Ca24 Zn8 Au4'
_space_group_name_H-M_alt 'I m m m'
_space_group_IT_number 71
_space_group_name_Hall '-I 2 2'
_cell_length_a 10.1560
_cell_length_b 10.2228
_cell_length_c 10.5271
_cell_angle_alpha 90.00
_cell_angle_beta 90.00
_cell_angle_gamma 90.00
loop_
_atom_site_label
_atom_site_fract_x
_atom_site_fract_y
_atom_site_fract_z
_atom_site_occupancy
Ca1 0.0000 0.2067 0.1715 1
Ca2 0.1751 0.2411 0.5000 1
Ca3 0.1923 0.5000 0.2462 1
Zn1 0.0000 0.0000 0.3808 1
Zn2 0.1405 0.0000 0.0000 1
Au1 0.0000 0.5000 0.0000 1
Au2 0.0000 0.5000 0.5000 1
```


Record 11
Ca2Zn7Au | PBE-GGA | optimized geometry

Output
Total DFT energy (no corrections), eV/atom: -1.9052

```
data_Ca2Zn7Au
_chemical_formula_sum 'Ca2 Zn7 Au1'
_space_group_name_H-M_alt 'P -4 m 2'
_space_group_IT_number 115
_cell_length_a 4.1187
_cell_length_b 4.1187
_cell_length_c 11.4702
_cell_angle_alpha 90.00
_cell_angle_beta 90.00
_cell_angle_gamma 90.00
loop_
_space_group_symop_operation_xyz
'x,y,z'
'y,-x,-z'
'-x,-y,z'
'-y,x,-z'
'-x,y,z'
'-y,-x,-z'
'x,-y,z'
'y,x,-z'
loop_
_atom_site_label
_atom_site_fract_x
_atom_site_fract_y
_atom_site_fract_z
_atom_site_occupancy
Ca1 0.0000 0.5000 0.2487 1
Zn1 0.0000 0.0000 0.0000 1
Zn2 0.0000 0.5000 0.6439 1
Zn3 0.0000 0.5000 0.8621 1
Zn4 0.5000 0.5000 0.0000 1
Zn5 0.5000 0.5000 0.5000 1
Au1 0.0000 0.0000 0.5000 1
```


Record 12
CaZn6Au6 | PBE-GGA | optimized geometry

Output
Total DFT energy (no corrections), eV/atom: -2.5935

```
data_CaZn6Au6
_chemical_formula_sum 'Ca1 Zn6 Au6'
_space_group_name_H-M_alt 'P 6/m m m'
_space_group_IT_number 191
_space_group_name_Hall '-P 6 2'
_cell_length_a 5.3643
_cell_length_b 5.3643
_cell_length_c 9.0577
_cell_angle_alpha 90.00
_cell_angle_beta 90.00
_cell_angle_gamma 120.00
loop_
_atom_site_label
_atom_site_fract_x
_atom_site_fract_y
_atom_site_fract_z
_atom_site_occupancy
Ca1 0.0000 0.0000 0.0000 1
Zn1 0.0000 0.5000 0.2483 1
Au1 0.0000 0.0000 0.3383 1
Au2 0.3333 0.6667 0.0000 1
Au3 0.3333 0.6667 0.5000 1
```


Please write out number 12 again, unchanged.
CaZn6Au6 | PBE-GGA | optimized geometry

Output
Total DFT energy (no corrections), eV/atom: -2.5935

```
data_CaZn6Au6
_chemical_formula_sum 'Ca1 Zn6 Au6'
_space_group_name_H-M_alt 'P 6/m m m'
_space_group_IT_number 191
_space_group_name_Hall '-P 6 2'
_cell_length_a 5.3643
_cell_length_b 5.3643
_cell_length_c 9.0577
_cell_angle_alpha 90.00
_cell_angle_beta 90.00
_cell_angle_gamma 120.00
loop_
_atom_site_label
_atom_site_fract_x
_atom_site_fract_y
_atom_site_fract_z
_atom_site_occupancy
Ca1 0.0000 0.0000 0.0000 1
Zn1 0.0000 0.5000 0.2483 1
Au1 0.0000 0.0000 0.3383 1
Au2 0.3333 0.6667 0.0000 1
Au3 0.3333 0.6667 0.5000 1
```